Below is a relaxed structure of KBIr2, with properties calculated at the PBE level.

The value obtained for the energy of formation from the pure elements is 0.5657 eV/atom. As for the calculated total energy: -5.8085 eV/atom.

The structure belongs to space group I4_1/amd (No. 141, origin choice 2); the cell edges are 4.972, 4.972 and 13.950 Å and the angles 90.00°, 90.00° and 90.00°. The inequivalent atoms are K at (0.000, 0.250, 0.375), B at (0.000, 0.250, 0.875) and Ir at (0.000, 0.000, 0.000).

=====

Below is a relaxed structure of K2NiBIr, with properties calculated at the PBE level.

The value obtained for the energy of formation from the pure elements is 0.9583 eV/atom. As for the calculated total energy: -3.7446 eV/atom.

The structure belongs to space group P4/mmm (No. 123); the cell edges are 5.842, 5.842 and 3.970 Å and the angles 90.00°, 90.00° and 90.00°. The inequivalent atoms are K at (0.000, 0.500, 0.000), Ni at (0.000, 0.000, 0.500), B at (0.500, 0.500, 0.000) and Ir at (0.500, 0.500, 0.500).

=====

Below is a relaxed structure of KNiBIr2, with properties calculated at the PBE level.

The value obtained for the energy of formation from the pure elements is 3.5616 eV/atom. As for the calculated total energy: -2.6941 eV/atom.

The structure belongs to space group P4/mmm (No. 123); the cell edges are 4.789, 4.789 and 4.308 Å and the angles 90.00°, 90.00° and 90.00°. The inequivalent atoms are K at (0.000, 0.000, 0.000), Ni at (0.000, 0.000, 0.500), B at (0.500, 0.500, 0.500) and Ir at (0.000, 0.500, 0.000).

=====

| no. | Fermi-level density of states (states/eV/cell) |
| --- | --- |
| 1 | 11.94 |
| 2 | 8.12 |
| 3 | 6.21 |